# 1
Computed, not measured: a geometry-optimized NiAgB2 structure at the PBE-GGA level of DFT.

It has space group Fm-3m (No. 225), with a = 5.442 Å, b = 5.442 Å, c = 5.442 Å, α = 90.00°, β = 90.00° and γ = 90.00°. The inequivalent atoms are Ni at (0.000, 0.000, 0.000), Ag at (0.000, 0.000, 0.500) and B at (0.250, 0.250, 0.250).

The density of states at the Fermi level comes out at 6.24 states/eV/cell. The energy above the lowest structure with this stoichiometry comes out at 2.26 eV per formula unit. Its total energy is -4.541 eV/atom. For the total magnetic moment, the calculation gives 0.000 Bohr magnetons per cell.



# 2
Computed, not measured: a geometry-optimized NiAgB2 structure at the PBE-GGA level of DFT.

It has space group I4_1/amd (No. 141, origin choice 2), with a = 3.581 Å, b = 3.581 Å, c = 14.311 Å, α = 90.00°, β = 90.00° and γ = 90.00°. The inequivalent atoms are Ni at (0.000, 0.250, 0.375), Ag at (0.000, 0.250, 0.875) and B at (0.000, 0.000, 0.500).

The density of states at the Fermi level comes out at 3.60 states/eV/cell. The energy above the lowest structure with this stoichiometry comes out at 0.00 eV per formula unit. Its total energy is -5.105 eV/atom. For the total magnetic moment, the calculation gives 0.000 Bohr magnetons per cell.



# 3
Computed, not measured: a geometry-optimized Ni3AgB structure at the PBE-GGA level of DFT.

It has space group Pm-3m (No. 221), with a = 3.883 Å, b = 3.883 Å, c = 3.883 Å, α = 90.00°, β = 90.00° and γ = 90.00°. The inequivalent atoms are Ni at (0.000, 0.000, 0.500), Ag at (0.500, 0.500, 0.500) and B at (0.000, 0.000, 0.000).

The density of states at the Fermi level comes out at 0.63 states/eV/cell. The energy above the lowest structure with this stoichiometry comes out at 0.00 eV per formula unit. Its total energy is -5.349 eV/atom. For the total magnetic moment, the calculation gives 0.000 Bohr magnetons per cell.



# 4
Computed, not measured: a geometry-optimized Ni2AgB2 structure at the PBE-GGA level of DFT.

It has space group I4/mmm (No. 139), with a = 2.780 Å, b = 2.780 Å, c = 13.705 Å, α = 90.00°, β = 90.00° and γ = 90.00°. The inequivalent atoms are Ni at (0.000, 0.000, 0.143), Ag at (0.000, 0.000, 0.500) and B at (0.000, 0.500, 0.250).

The density of states at the Fermi level comes out at 4.84 states/eV/cell. Its total energy is -5.485 eV/atom. For the total magnetic moment, the calculation gives 0.000 Bohr magnetons per cell.



Which formula does entry 3 have? Ni3AgB



Copy entry 4 word for word.
Computed, not measured: a geometry-optimized Ni2AgB2 structure at the PBE-GGA level of DFT.

It has space group I4/mmm (No. 139), with a = 2.780 Å, b = 2.780 Å, c = 13.705 Å, α = 90.00°, β = 90.00° and γ = 90.00°. The inequivalent atoms are Ni at (0.000, 0.000, 0.143), Ag at (0.000, 0.000, 0.500) and B at (0.000, 0.500, 0.250).

The density of states at the Fermi level comes out at 4.84 states/eV/cell. Its total energy is -5.485 eV/atom. For the total magnetic moment, the calculation gives 0.000 Bohr magnetons per cell.



Number 1 is which compound? NiAgB2